No. 1
A plane-wave DFT calculation with GGA-PBEsol was carried out for a relaxed structure of LaSbPtPb2.

Fermi-level density of states, states/eV/cell: 3.7
Total moment, μB/cell: 0.00
Raw total energy, eV per atom: -4.7339
Raw formation energy, eV/f.u.: 1.195

Cell: 4.821 5.733 5.733 Å, 90.00 90.00 90.00°
Element x y z (fractional)
Pb: 0.000 0.000 0.500
Pb: 0.000 0.500 0.000
Sb: 0.000 0.000 0.000
Pt: 0.500 0.000 0.000
La: 0.500 0.500 0.500

No. 2
A plane-wave DFT calculation with GGA-PBEsol was carried out for a relaxed structure of LaTe2PtPb.

Fermi-level density of states, states/eV/cell: 2.4
Total moment, μB/cell: 0.00
Raw total energy, eV per atom: -5.0014
Raw formation energy, eV/f.u.: -1.646

Cell: 5.299 5.377 5.377 Å, 90.00 90.00 90.00°
Element x y z (fractional)
Pb: 0.500 0.500 0.500
Te: 0.000 0.000 0.500
Te: 0.000 0.500 0.000
Pt: 0.000 0.000 0.000
La: 0.500 0.000 0.000

No. 3
A plane-wave DFT calculation with GGA-PBEsol was carried out for a relaxed structure of LaTePtPb2.

Fermi-level density of states, states/eV/cell: 4.2
Total moment, μB/cell: 0.00
Raw total energy, eV per atom: -4.0697
Raw formation energy, eV/f.u.: 3.485

Cell: 5.685 5.685 5.843 Å, 90.00 90.00 90.00°
Element x y z (fractional)
Pb: 0.000 0.500 0.000
Pb: 0.500 0.000 0.000
Te: 0.000 0.000 0.000
Pt: 0.500 0.500 0.500
La: 0.000 0.000 0.500

No. 4
A plane-wave DFT calculation with GGA-PBEsol was carried out for a relaxed structure of Rb3LaPb.

ΔE_f, eV/f.u.: 5.11
Fermi-level density of states, states/eV/cell: 7.5
Total moment, μB/cell: 2.16
Raw total energy, eV per atom: -1.4628

Cell: 6.634 6.634 6.634 Å, 90.00 90.00 90.00°
Each line ends with the local moment (μB).
Element x y z (fractional)
Pb: 0.500 0.500 0.500  -0.36
Rb: 0.000 0.500 0.000  0.06
Rb: 0.000 0.000 0.500  0.06
Rb: 0.500 0.000 0.000  0.06
La: 0.000 0.000 0.000  1.16

No. 5
A plane-wave DFT calculation with GGA-PBEsol was carried out for a relaxed structure of LaRe2Pb.

ΔE_f, eV/f.u.: 3.13
Fermi-level density of states, states/eV/cell: 3.5
Total moment, μB/cell: 0.00
Raw total energy, eV per atom: -8.2197

Cell: 3.197 4.908 5.735 Å, 90.00 90.76 90.00°
Element x y z (fractional)
La: 0.500 0.500 0.000
Pb: 0.000 0.500 0.500
Re: 0.991 0.000 0.801
Re: 0.009 0.000 0.199

No. 6
A plane-wave DFT calculation with GGA-PBEsol was carried out for a relaxed structure of LaRh4Pb.

ΔE_f, eV/f.u.: -1.95
Fermi-level density of states, states/eV/cell: 8.9
Total moment, μB/cell: 0.00
Raw total energy, eV per atom: -7.3076

Cell: 5.317 5.317 5.317 Å, 60.00 60.00 60.00°
Element x y z (fractional)
La: 0.750 0.750 0.750
Pb: 0.000 0.000 0.000
Rh: 0.374 0.374 0.374
Rh: 0.374 0.374 0.878
Rh: 0.878 0.374 0.374
Rh: 0.374 0.878 0.374